# 1
Density functional theory data (PBE) for ZrPaZnO6 after structural relaxation.

Computed properties:
Formation energy without anion corrections: -23.78 eV/f.u.

a = 4.9641 Å, b = 4.9641 Å, c = 9.9405 Å
α = 90.00°, β = 90.00°, γ = 90.00°
With the nearest neighbours (Å) after each atom.
Fractional coordinates of all 18 atoms:
Zr1 0.0000 0.0000 0.0000  6 O 2.12-2.13
Zr2 0.5000 0.5000 0.5000  6 O 2.12-2.13
Pa1 0.0000 0.0000 0.6653  6 O 2.17-2.18
Pa2 0.5000 0.5000 0.1653  6 O 2.17-2.18
Zn1 0.0000 0.0000 0.3334  6 O 2.13-2.16
Zn2 0.5000 0.5000 0.8334  6 O 2.13-2.16
O1 0.1911 0.1911 0.1666  1 Zr 2.13, 1 Zn 2.13, 1 Pa 2.17
O2 0.1923 0.1923 0.8358  1 Zr 2.12, 1 Zn 2.16, 1 Pa 2.17
O3 0.1974 0.1974 0.4964  1 Zr 2.12, 1 Zn 2.13, 1 Pa 2.18
O4 0.3026 0.6974 0.9964  1 Zr 2.12, 1 Zn 2.13, 1 Pa 2.18
O5 0.3077 0.6923 0.3358  1 Zr 2.12, 1 Zn 2.16, 1 Pa 2.17
O6 0.3089 0.6911 0.6666  1 Zr 2.13, 1 Zn 2.13, 1 Pa 2.17
O7 0.6911 0.3089 0.6666  1 Zr 2.13, 1 Zn 2.13, 1 Pa 2.17
O8 0.6923 0.3077 0.3358  1 Zr 2.12, 1 Zn 2.16, 1 Pa 2.17
O9 0.6974 0.3026 0.9964  1 Zr 2.12, 1 Zn 2.13, 1 Pa 2.18
O10 0.8026 0.8026 0.4964  1 Zr 2.12, 1 Zn 2.13, 1 Pa 2.18
O11 0.8077 0.8077 0.8358  1 Zr 2.12, 1 Zn 2.16, 1 Pa 2.17
O12 0.8089 0.8089 0.1666  1 Zr 2.13, 1 Zn 2.13, 1 Pa 2.17

=====

# 2
Density functional theory data (PBE) for ZrPaZn2O8 after structural relaxation.

Computed properties:
Formation energy without anion corrections: -24.49 eV/f.u.

a = 5.9050 Å, b = 5.9050 Å, c = 5.9050 Å
α = 109.76°, β = 109.76°, γ = 108.89°
With the nearest neighbours (Å) after each atom.
Fractional coordinates of all 12 atoms:
Zr1 0.0000 0.0000 0.0000  8 O 2.12-2.35
Pa1 0.2500 0.7500 0.5000  4 O 2.15
Zn1 0.5000 0.5000 0.0000  4 O 1.92
Zn2 0.7500 0.2500 0.5000  4 O 1.90
O1 0.2887 0.1030 0.8143  1 Zn 1.92, 1 Pa 2.15
O2 0.2887 0.4743 0.1857  1 Zn 1.92, 1 Pa 2.15
O3 0.3561 0.0474 0.3087  1 Zn 1.90, 1 Zr 2.12
O4 0.5257 0.7113 0.8143  1 Zn 1.92, 1 Pa 2.15
O5 0.7386 0.0474 0.6913  1 Zn 1.90, 1 Zr 2.12
O6 0.8970 0.7113 0.1857  1 Zn 1.92, 1 Pa 2.15
O7 0.9526 0.2614 0.3087  1 Zn 1.90, 1 Zr 2.12
O8 0.9526 0.6439 0.6913  1 Zn 1.90, 1 Zr 2.12

=====

# 3
Density functional theory data (PBE) for ZrPaO4 after structural relaxation.

Computed properties:
Formation energy without anion corrections: -20.31 eV/f.u.

a = 3.7797 Å, b = 3.7797 Å, c = 5.2490 Å
α = 90.00°, β = 90.00°, γ = 90.00°
With the nearest neighbours (Å) after each atom.
Fractional coordinates of all 6 atoms:
Zr1 0.0000 0.0000 0.0000  8 O 2.28
Pa1 0.5000 0.5000 0.5000  8 O 2.32
O1 0.0000 0.5000 0.2421  2 Zr 2.28, 2 Pa 2.32, 1 O 2.54
O2 0.0000 0.5000 0.7579  2 Zr 2.28, 2 Pa 2.32, 1 O 2.54
O3 0.5000 0.0000 0.2421  2 Zr 2.28, 2 Pa 2.32, 1 O 2.54
O4 0.5000 0.0000 0.7579  2 Zr 2.28, 2 Pa 2.32, 1 O 2.54

=====

# 4
Density functional theory data (PBE) for Zr3PaO after structural relaxation.

Computed properties:
Formation energy without anion corrections: -4.44 eV/f.u.

a = 4.6133 Å, b = 4.6133 Å, c = 4.6133 Å
α = 90.00°, β = 90.00°, γ = 90.00°
With the nearest neighbours (Å) after each atom.
Fractional coordinates of all 5 atoms:
Zr1 0.0000 0.0000 0.5000  2 O 2.31
Zr2 0.0000 0.5000 0.0000  2 O 2.31
Zr3 0.5000 0.0000 0.0000  2 O 2.31
Pa1 0.5000 0.5000 0.5000  12 Zr 3.26
O1 0.0000 0.0000 0.0000  6 Zr 2.31

=====

# 5
Density functional theory data (PBE) for ZrPaO4 after structural relaxation.

Computed properties:
Formation energy without anion corrections: -20.31 eV/f.u.

a = 6.5268 Å, b = 6.5268 Å, c = 6.5268 Å
α = 132.10°, β = 132.10°, γ = 70.07°
With the nearest neighbours (Å) after each atom.
Fractional coordinates of all 12 atoms:
Zr1 0.3750 0.6250 0.7500  8 O 2.28
Zr2 0.6250 0.3750 0.2500  8 O 2.28
Pa1 0.1250 0.8750 0.2500  8 O 2.32
Pa2 0.8750 0.1250 0.7500  8 O 2.32
O1 0.0000 0.2570 0.2570  2 Zr 2.28, 2 Pa 2.32
O2 0.0000 0.7430 0.7430  2 Zr 2.28, 2 Pa 2.32
O3 0.2570 0.0000 0.7570  2 Zr 2.28, 2 Pa 2.32
O4 0.2570 0.5000 0.2570  2 Zr 2.28, 2 Pa 2.32
O5 0.5000 0.2570 0.7570  2 Zr 2.28, 2 Pa 2.32
O6 0.5000 0.7430 0.2430  2 Zr 2.28, 2 Pa 2.32
O7 0.7430 0.0000 0.2430  2 Zr 2.28, 2 Pa 2.32
O8 0.7430 0.5000 0.7430  2 Zr 2.28, 2 Pa 2.32

=====

# 6
Density functional theory data (PBE) for Zr2PaO6 after structural relaxation.

Computed properties:
Formation energy without anion corrections: -29.63 eV/f.u.

a = 5.5187 Å, b = 5.5187 Å, c = 4.8460 Å
α = 90.00°, β = 90.00°, γ = 120.00°
With the nearest neighbours (Å) after each atom.
Fractional coordinates of all 9 atoms:
Zr1 0.3333 0.6667 0.0000  6 O 2.14
Zr2 0.6667 0.3333 0.0000  6 O 2.14
Pa1 0.0000 0.0000 0.5000  6 O 2.29
O1 0.0000 0.3409 0.2316  2 Zr 2.14, 1 Pa 2.29
O2 0.0000 0.6591 0.7684  2 Zr 2.14, 1 Pa 2.29
O3 0.3409 0.0000 0.2316  2 Zr 2.14, 1 Pa 2.29
O4 0.3409 0.3409 0.7684  2 Zr 2.14, 1 Pa 2.29
O5 0.6591 0.0000 0.7684  2 Zr 2.14, 1 Pa 2.29
O6 0.6591 0.6591 0.2316  2 Zr 2.14, 1 Pa 2.29

=====

Electronic total energy
In order: -8.0944; -7.0621; -9.6984; -8.9077; -9.6981; -9.5520
Unit: eV per atom